[1]
BeSiP2, optimized geometry, DFT PBE; formation energy from raw total energies = 1.7 eV/f.u.; N(E_F) = 0.210 states/eV/atom; total magnetic moment = 0.00 μB/f.u.; final energy = -4.560 eV/atom; calculated volume = 14.23 Å³/atom; energy above the most stable polymorph in this dataset = 0.811 eV/atom
1.0
2.574 0.000 0.000
0.000 2.574 0.000
0.000 0.000 8.586
Be Si P
1 1 2
direct
0.000 0.000 0.000
0.500 0.500 0.801
0.000 0.000 0.573
0.500 0.500 0.182



[2]
CsSn2BiCl8, optimized geometry, DFT PBE; formation energy from raw total energies = -13.9 eV/f.u.; N(E_F) = 0.000 states/eV/atom; total magnetic moment = 0.00 μB/f.u.; final energy = -3.454 eV/atom; calculated volume = 36.79 Å³/atom
1.0
6.588 0.000 0.000
0.408 7.035 0.000
0.522 0.929 9.525
Cs Sn Bi Cl
1 2 1 8
direct
0.000 0.000 0.000
0.478 0.479 0.258
0.522 0.521 0.742
0.000 0.000 0.500
0.232 0.824 0.301
0.236 0.318 0.461
0.260 0.858 0.704
0.271 0.387 0.064
0.729 0.613 0.936
0.740 0.142 0.296
0.764 0.682 0.539
0.768 0.176 0.699



[3]
ZrBe2Al2, optimized geometry, DFT PBE; N(E_F) = 0.229 states/eV/atom; ΔE_f = 0.005 eV/atom; total magnetic moment = 0.00 μB/f.u.; final energy = -4.692 eV/atom; calculated volume = 14.41 Å³/atom; energy above the most stable polymorph in this dataset = 0.109 eV/atom
1.0
7.198 0.000 0.000
0.000 7.198 0.000
0.000 0.000 2.781
Zr Be Al
2 4 4
direct
0.000 0.000 0.000
0.500 0.500 0.000
0.165 0.335 0.500
0.335 0.835 0.500
0.665 0.165 0.500
0.835 0.665 0.500
0.129 0.629 0.000
0.371 0.129 0.000
0.629 0.871 0.000
0.871 0.371 0.000



[4]
Sm3PbSe2, optimized geometry, DFT PBE; formation energy from raw total energies = -8.4 eV/f.u.; N(E_F) = 0.410 states/eV/atom; total magnetic moment = 0.00 μB/f.u.; final energy = -5.542 eV/atom; calculated volume = 28.19 Å³/atom
1.0
-2.161 3.047 6.421
2.161 -3.047 6.421
2.161 3.047 -6.421
Sm Pb Se
3 1 2
direct
0.000 0.000 0.000
0.325 0.325 0.000
0.675 0.675 0.000
0.500 0.000 0.500
0.164 0.664 0.500
0.836 0.336 0.500



[5]
PrTm2TlHg4, optimized geometry, DFT PBE; N(E_F) = 0.650 states/eV/atom; ΔE_f = -0.345 eV/atom; total magnetic moment = 0.00 μB/f.u.; final energy = -2.507 eV/atom; calculated volume = 26.17 Å³/atom
1.0
2.569 1.483 9.156
-2.569 1.483 9.156
0.000 -2.966 9.156
Pr Tm Tl Hg
1 2 1 4
direct
0.000 0.000 0.000
0.240 0.240 0.240
0.760 0.760 0.760
0.500 0.500 0.500
0.121 0.121 0.121
0.378 0.378 0.378
0.622 0.622 0.622
0.879 0.879 0.879



[6]
TaPAu, optimized geometry, DFT PBE; N(E_F) = 0.737 states/eV/atom; ΔE_f = 0.071 eV/atom; total magnetic moment = 0.00 μB/f.u.; final energy = -6.776 eV/atom; calculated volume = 17.60 Å³/atom; energy above the most stable polymorph in this dataset = 0.235 eV/atom
1.0
0.000 2.977 2.977
2.977 0.000 2.977
2.977 2.977 0.000
Ta P Au
1 1 1
direct
0.000 0.000 0.000
0.750 0.750 0.750
0.500 0.500 0.500



[7]
ErCuAg, optimized geometry, DFT PBE; N(E_F) = 0.297 states/eV/atom; ΔE_f = -0.245 eV/atom; total magnetic moment = 0.00 μB/f.u.; final energy = -4.082 eV/atom; calculated volume = 19.35 Å³/atom; energy above the most stable polymorph in this dataset = 0.027 eV/atom
1.0
-1.789 1.789 4.536
1.789 -1.789 4.536
1.789 1.789 -4.536
Er Cu Ag
1 1 1
direct
0.000 0.000 0.000
0.334 0.334 0.000
0.680 0.680 0.000



[8]
Ac2MgSbS6, optimized geometry, DFT PBE; formation energy from raw total energies = -14.0 eV/f.u.; N(E_F) = 0.554 states/eV/atom; total magnetic moment = 0.00 μB/f.u.; final energy = -5.271 eV/atom; calculated volume = 24.69 Å³/atom
1.0
6.800 0.000 0.000
0.000 7.419 0.000
-6.748 0.000 9.788
Ac Mg Sb S
4 2 2 12
direct
0.218 0.094 0.250
0.218 0.406 0.750
0.782 0.594 0.250
0.782 0.906 0.750
0.000 0.000 0.500
0.000 0.500 0.000
0.500 0.000 0.000
0.500 0.500 0.500
0.129 0.188 0.946
0.129 0.312 0.446
0.263 0.689 0.948
0.263 0.811 0.448
0.360 0.026 0.746
0.360 0.474 0.246
0.640 0.526 0.754
0.640 0.974 0.254
0.737 0.189 0.552
0.737 0.311 0.052
0.871 0.688 0.554
0.871 0.812 0.054



[9]
LiLaNiGe, optimized geometry, DFT PBE; ΔE_f = -0.467 eV/atom; total magnetic moment = 0.00 μB/f.u.; final energy = -4.777 eV/atom; calculated volume = 17.69 Å³/atom
1.0
0.000 3.283 3.283
3.283 0.000 3.283
3.283 3.283 0.000
Li La Ni Ge
1 1 1 1
direct
0.000 0.000 0.000
0.250 0.250 0.250
0.500 0.500 0.500
0.750 0.750 0.750



[10]
Tm2NpFe2, optimized geometry, DFT PBE; N(E_F) = 1.671 states/eV/atom; ΔE_f = -0.081 eV/atom; total magnetic moment = 1.62 μB/f.u.; final energy = -7.843 eV/atom; calculated volume = 19.77 Å³/atom
1.0
4.774 -2.845 0.000
4.774 2.845 0.000
-1.283 0.000 7.278
Tm Np Fe
4 2 4
direct
0.036 0.267 0.151
0.267 0.036 0.651
0.733 0.964 0.349
0.964 0.733 0.849
0.382 0.618 0.250
0.618 0.382 0.750
0.263 0.498 0.488
0.498 0.263 0.988
0.502 0.737 0.012
0.737 0.502 0.512



[11]
AlFe4, optimized geometry, DFT PBE; N(E_F) = 1.189 states/eV/atom; ΔE_f = 0.287 eV/atom; total magnetic moment = 2.67 μB/f.u.; final energy = -7.231 eV/atom; calculated volume = 12.40 Å³/atom; energy above the most stable polymorph in this dataset = 0.394 eV/atom
1.0
-1.795 1.795 4.811
1.795 -1.795 4.811
1.795 1.795 -4.811
Al Fe
1 4
direct
0.000 0.000 0.000
0.250 0.750 0.500
0.395 0.395 0.000
0.605 0.605 0.000
0.750 0.250 0.500



[12]
AsPb3Au, optimized geometry, DFT PBE; N(E_F) = 0.688 states/eV/atom; ΔE_f = 0.533 eV/atom; total magnetic moment = 0.00 μB/f.u.; final energy = -3.278 eV/atom; calculated volume = 34.75 Å³/atom; energy above the most stable polymorph in this dataset = 0.558 eV/atom
1.0
5.580 0.000 0.000
0.000 5.580 0.000
0.000 0.000 5.580
As Pb Au
1 3 1
direct
0.000 0.000 0.000
0.000 0.000 0.500
0.000 0.500 0.000
0.500 0.000 0.000
0.500 0.500 0.500